1.
This record from Alexandria describes a relaxed TiTl2Hg crystal. The functional is PBE.

The structure in POSCAR format:
```
TiTl2Hg
1.0
3.285 0.000 0.000
1.643 2.845 0.000
1.643 0.948 11.045
Tl Hg Ti
2 1 1
direct
0.085 0.085 0.746
0.915 0.915 0.254
0.500 0.500 0.500
0.000 0.000 0.000
```

Calculated values
ΔH_f (0 K) = 39 kJ per mole of atoms
E above lowest polymorph = 9.8 kJ/mol of formula units
E = -2.824 eV per atom

2.
This record from Alexandria describes a relaxed Ti2Tl2Hg crystal. The functional is PBE.

The structure in POSCAR format:
```
Ti2Tl2Hg
1.0
-7.216 -1.080 1.476
-1.155 -1.963 -7.087
0.759 -3.802 0.929
Tl Hg Ti
4 2 4
direct
0.178 0.678 0.500
0.678 0.822 0.500
0.822 0.322 0.500
0.322 0.178 0.500
0.000 0.000 0.000
0.500 0.500 0.000
0.378 0.878 0.000
0.878 0.622 0.000
0.622 0.122 0.000
0.122 0.378 0.000
```

Calculated values
ΔH_f (0 K) = 18 kJ per mole of atoms
E above lowest polymorph = 0.0 kJ/mol of formula units
E = -3.978 eV per atom

3.
This record from Alexandria describes a relaxed Ti12Tl3Hg crystal. The functional is PBE.

The structure in POSCAR format:
```
Ti12Tl3Hg
1.0
4.167 0.000 0.000
0.000 4.167 0.000
0.000 0.000 16.655
Ti Tl Hg
12 3 1
direct
0.500 0.500 0.000
0.500 0.500 0.248
0.500 0.500 0.500
0.500 0.500 0.752
0.500 0.000 0.123
0.500 0.000 0.374
0.500 0.000 0.626
0.500 0.000 0.877
0.000 0.500 0.123
0.000 0.500 0.374
0.000 0.500 0.626
0.000 0.500 0.877
0.000 0.000 0.248
0.000 0.000 0.500
0.000 0.000 0.752
0.000 0.000 0.000
```

Calculated values
ΔH_f (0 K) = 1 kJ per mole of atoms
E = -6.377 eV per atom

4.
This record from Alexandria describes a relaxed TmTiTlHg crystal. The functional is PBE.

The structure in POSCAR format:
```
TmTiTlHg
1.0
5.054 0.000 0.000
2.527 4.377 0.000
2.527 1.459 4.126
Tl Tm Hg Ti
1 1 1 1
direct
0.250 0.250 0.250
0.000 0.000 0.000
0.750 0.750 0.750
0.500 0.500 0.500
```

Calculated values
ΔH_f (0 K) = -10 kJ per mole of atoms
E = -3.859 eV per atom

5.
This record from Alexandria describes a relaxed YTiTl2Hg crystal. The functional is PBE.

The structure in POSCAR format:
```
YTiTl2Hg
1.0
5.932 0.000 0.000
0.000 5.032 0.000
0.000 0.000 5.932
Y Tl Hg Ti
1 2 1 1
direct
0.000 0.000 0.000
0.000 0.000 0.500
0.500 0.000 0.000
0.500 0.500 0.500
0.000 0.500 0.000
```

Calculated values
ΔH_f (0 K) = 88 kJ per mole of atoms
E = -2.965 eV per atom

6.
This record from Alexandria describes a relaxed Y2TiTlHg crystal. The functional is PBE.

The structure in POSCAR format:
```
Y2TiTlHg
1.0
-3.361 -3.204 2.572
3.095 0.168 4.254
-2.672 4.228 1.777
Y Tl Hg Ti
2 1 1 1
direct
0.000 0.000 0.500
0.500 0.000 0.000
0.500 0.500 0.500
0.000 0.500 0.000
0.000 0.000 0.000
```

Calculated values
ΔH_f (0 K) = 41 kJ per mole of atoms
E = -4.274 eV per atom

7.
This record from Alexandria describes a relaxed YTiTlHg crystal. The functional is PBE.

The structure in POSCAR format:
```
YTiTlHg
1.0
5.098 0.000 0.000
2.549 4.415 0.000
2.549 1.472 4.162
Y Tl Hg Ti
1 1 1 1
direct
0.250 0.250 0.250
0.500 0.500 0.500
0.000 0.000 0.000
0.750 0.750 0.750
```

Calculated values
ΔH_f (0 K) = -12 kJ per mole of atoms
E = -4.379 eV per atom

8.
This record from Alexandria describes a relaxed ZrTiTlHg crystal. The functional is PBE.

The structure in POSCAR format:
```
ZrTiTlHg
1.0
4.924 0.000 0.000
2.462 4.265 0.000
2.462 1.422 4.021
Tl Hg Zr Ti
1 1 1 1
direct
0.500 0.500 0.500
0.000 0.000 0.000
0.750 0.750 0.750
0.250 0.250 0.250
```

Calculated values
ΔH_f (0 K) = 5 kJ per mole of atoms
E = -4.725 eV per atom

9.
This record from Alexandria describes a relaxed Tm2TiHg crystal. The functional is PBE.

The structure in POSCAR format:
```
Tm2TiHg
1.0
-0.249 2.835 -1.728
-2.996 1.310 -0.627
-0.530 7.071 8.470
Tm Hg Ti
2 1 1
direct
0.090 0.090 0.730
0.910 0.910 0.270
0.500 0.500 0.500
0.000 0.000 0.000
```

Calculated values
ΔH_f (0 K) = 28 kJ per mole of atoms
E above lowest polymorph = 166.1 kJ/mol of formula units
E = -3.991 eV per atom

10.
This record from Alexandria describes a relaxed TmTiHg crystal. The functional is PBE.

The structure in POSCAR format:
```
TmTiHg
1.0
-0.096 1.965 2.662
-0.255 -2.659 1.954
6.229 0.076 -1.889
Tm Hg Ti
1 1 1
direct
0.005 0.005 0.011
0.320 0.320 0.640
0.675 0.675 0.349
```

Calculated values
ΔH_f (0 K) = -10 kJ per mole of atoms
E above lowest polymorph = 9.2 kJ/mol of formula units
E = -4.330 eV per atom

11.
This record from Alexandria describes a relaxed TmTiHg6 crystal. The functional is PBE.

The structure in POSCAR format:
```
TmTiHg6
1.0
-2.066 -1.517 -5.433
3.493 -3.091 -3.787
-2.262 -8.179 -0.177
Tm Ti Hg
1 1 6
direct
0.000 0.000 0.000
0.500 0.500 0.500
0.067 0.067 0.310
0.067 0.556 0.310
0.444 0.933 0.690
0.933 0.444 0.690
0.933 0.933 0.690
0.556 0.067 0.310
```

Calculated values
ΔH_f (0 K) = 28 kJ per mole of atoms
E = -1.480 eV per atom

12.
This record from Alexandria describes a relaxed Tm2TiHg crystal. The functional is PBE.

The structure in POSCAR format:
```
Tm2TiHg
1.0
3.397 0.000 0.000
0.000 3.397 0.000
0.000 0.000 8.335
Tm Hg Ti
2 1 1
direct
0.000 0.000 0.754
0.000 0.000 0.246
0.500 0.500 0.500
0.500 0.500 0.000
```

Calculated values
ΔH_f (0 K) = -13 kJ per mole of atoms
E above lowest polymorph = 0.0 kJ/mol of formula units
E = -4.421 eV per atom

13.
This record from Alexandria describes a relaxed TmTiHg crystal. The functional is PBE.

The structure in POSCAR format:
```
TmTiHg
1.0
-3.876 -1.487 0.810
1.685 -3.181 2.222
-0.315 4.323 6.428
Tm Hg Ti
2 2 2
direct
0.000 0.500 0.847
0.500 0.000 0.153
0.000 0.500 0.244
0.500 0.000 0.756
0.500 0.500 0.500
0.000 0.000 0.500
```

Calculated values
ΔH_f (0 K) = -13 kJ per mole of atoms
E above lowest polymorph = 0.0 kJ/mol of formula units
E = -4.361 eV per atom

14.
This record from Alexandria describes a relaxed Tm2TiHg crystal. The functional is PBE.

The structure in POSCAR format:
```
Tm2TiHg
1.0
3.888 0.000 0.000
0.000 4.982 0.000
0.000 0.000 4.982
Tm Hg Ti
2 1 1
direct
0.000 0.000 0.500
0.000 0.500 0.000
0.500 0.500 0.500
0.500 0.000 0.000
```

Calculated values
ΔH_f (0 K) = -7 kJ per mole of atoms
E above lowest polymorph = 25.3 kJ/mol of formula units
E = -4.356 eV per atom

15.
This record from Alexandria describes a relaxed TmTiZnHg crystal. The functional is PBE.

The structure in POSCAR format:
```
TmTiZnHg
1.0
-3.953 2.350 -1.631
-1.245 -0.296 -4.708
-3.964 -2.519 -1.322
Zn Tm Hg Ti
1 1 1 1
direct
0.500 0.500 0.500
0.750 0.750 0.750
0.000 0.000 0.000
0.250 0.250 0.250
```

Calculated values
ΔH_f (0 K) = -15 kJ per mole of atoms
E = -3.643 eV per atom

16.
This record from Alexandria describes a relaxed Ti2VHg crystal. The functional is PBE.

The structure in POSCAR format:
```
Ti2VHg
1.0
-0.485 4.354 1.346
-3.175 2.664 -1.958
-3.711 1.265 2.374
Ti Hg V
2 1 1
direct
0.250 0.250 0.250
0.750 0.750 0.750
0.000 0.000 0.000
0.500 0.500 0.500
```

Calculated values
ΔH_f (0 K) = 12 kJ per mole of atoms
E above lowest polymorph = 61.5 kJ/mol of formula units
E = -6.180 eV per atom

17.
This record from Alexandria describes a relaxed Ti2VHg crystal. The functional is PBE.

The structure in POSCAR format:
```
Ti2VHg
1.0
3.898 0.000 0.000
0.000 3.898 0.000
1.949 1.949 9.611
V Hg Ti
2 2 4
direct
0.500 0.500 0.000
0.250 0.750 0.500
0.000 0.000 0.000
0.750 0.250 0.500
0.612 0.125 0.250
0.138 0.625 0.250
0.375 0.388 0.750
0.875 0.862 0.750
```

Calculated values
ΔH_f (0 K) = 54 kJ per mole of atoms
E above lowest polymorph = 230.9 kJ/mol of formula units
E = -5.742 eV per atom

18.
This record from Alexandria describes a relaxed TiV4Hg crystal. The functional is PBE.

The structure in POSCAR format:
```
TiV4Hg
1.0
-0.054 3.283 3.848
-3.464 3.683 0.134
-3.732 -0.161 3.410
Ti Hg V
1 1 4
direct
0.000 0.000 0.000
0.250 0.250 0.250
0.629 0.629 0.114
0.629 0.114 0.629
0.629 0.629 0.629
0.114 0.629 0.629
```

Calculated values
ΔH_f (0 K) = 15 kJ per mole of atoms
E = -7.293 eV per atom

19.
This record from Alexandria describes a relaxed TiVHg crystal. The functional is PBE.

The structure in POSCAR format:
```
TiVHg
1.0
-2.556 1.656 -0.178
-1.619 -2.395 0.972
3.578 3.857 10.677
V Ti Hg
2 2 2
direct
0.280 0.280 0.559
0.720 0.720 0.441
0.152 0.152 0.305
0.848 0.848 0.695
0.562 0.562 0.124
0.438 0.438 0.876
```

Calculated values
ΔH_f (0 K) = 3 kJ per mole of atoms
E above lowest polymorph = 0.0 kJ/mol of formula units
E = -5.744 eV per atom

20.
This record from Alexandria describes a relaxed Ti2VHg crystal. The functional is PBE.

The structure in POSCAR format:
```
Ti2VHg
1.0
3.195 0.000 0.000
0.000 3.195 0.000
0.000 0.000 6.652
Ti Hg V
2 1 1
direct
0.000 0.000 0.784
0.000 0.000 0.216
0.500 0.500 0.500
0.500 0.500 0.000
```

Calculated values
ΔH_f (0 K) = -4 kJ per mole of atoms
E above lowest polymorph = 0.0 kJ/mol of formula units
E = -6.340 eV per atom